DFT (PBE) results for an optimized crystal structure of YH12Rh5.

The volume comes out at 8.8 Å³ per atom. As for the electronic total energy: -84.124 eV per cell.

The space group is P-1 (No. 2) and the conventional cell measures 4.1820, 4.3502 and 8.7928 Å, with angles of 98.39, 90.91 and 91.10 degrees. The distinct sites, in fractional coordinates, are Y at (0.0000, 0.0000, 0.0000), H at (0.1322, 0.5346, 0.1135), H at (0.1503, 0.0873, 0.2824), H at (0.1504, 0.2962, 0.6876), H at (0.4296, 0.7704, 0.8901), H at (0.4681, 0.2005, 0.8390), H at (0.4699, 0.5519, 0.6110), Rh at (0.2373, 0.2599, 0.4940), Rh at (0.2496, 0.7236, 0.2923) and Rh at (0.5000, 0.5000, 0.0000).